A plane-wave DFT calculation with PBE with a Hubbard U was carried out for a geometry-optimized AcUVO6 structure. Values from VASP.

The structure in Quantum ESPRESSO input format:
```
&SYSTEM
  ibrav = 0, nat = 18, ntyp = 4
/
ATOMIC_SPECIES
O 16.00 O.upf
Ac 227.00 Ac.upf
V 50.94 V.upf
U 238.03 U.upf
ATOMIC_POSITIONS angstrom
O -1.757 3.640 7.611
O 1.097 4.783 7.611
Ac 0.000 3.387 2.158
O 1.836 0.298 1.023
O 3.593 3.342 3.294
O -1.097 4.783 5.340
O 2.274 3.342 1.023
V 0.000 0.000 4.317
O 0.660 1.739 7.611
O 4.691 1.441 1.023
O 1.757 3.640 5.340
O 4.031 0.298 3.294
O -0.660 1.739 5.340
U 0.000 3.387 6.475
V 0.000 0.000 0.000
Ac 2.934 1.694 6.475
O 1.176 1.441 3.294
U 2.934 1.694 2.158
CELL_PARAMETERS angstrom
5.867 0.000 0.000
-2.934 5.081 0.000
0.000 0.000 8.634
```

V in Å³/cell: 257.4
E in eV/atom: -8.47